No. 1
MnCrSiCl2: relaxed, PBE-GGA.

Cell lengths 4.589, 5.201, 4.589 Å; angles 90.00, 90.00, 90.00 degrees
Last column: magnetic moment on the atom in μB.
Positions (direct):
Cl  0.500  0.000  0.000  0.03
Cr  0.000  0.000  0.000  2.95
Si  0.000  0.500  0.000  -0.27
Mn  0.500  0.500  0.500  4.44
Cl  0.000  0.000  0.500  -0.01

Results
Symmetry: No. 123
Raw formation energy in meV per atom: 280


No. 2
NaZr2TlCo: relaxed, PBE-GGA.

Cell lengths 5.387, 5.063, 5.387 Å; angles 90.00, 90.00, 90.00 degrees
Last column: magnetic moment on the atom in μB.
Positions (direct):
Zr  0.000  0.000  0.500  -0.04
Zr  0.500  0.000  0.000  -0.10
Co  0.500  0.500  0.500  0.15
Tl  0.000  0.000  0.000  -0.01
Na  0.000  0.500  0.000  0.00

Results
Symmetry: No. 123
ΔE_f in meV/atom: 1564


No. 3
Be2Co: relaxed, PBE-GGA.

Cell lengths 4.309, 4.309, 4.309 Å; angles 109.32, 109.32, 109.78 degrees
Positions (direct):
Be  0.780  0.280  0.059
Be  0.280  0.220  0.500
Co  0.750  0.750  0.000
Be  0.220  0.720  0.941
Co  0.250  0.250  0.000
Be  0.720  0.780  0.500

Results
Symmetry: No. 140
ΔE_f in meV/atom: 25


No. 4
DyHoScIr: relaxed, PBE-GGA.

Cell lengths 5.023, 5.023, 5.023 Å; angles 60.00, 60.00, 60.00 degrees
Last column: magnetic moment on the atom in μB.
Positions (direct):
Ir  0.750  0.750  0.750  -0.01
Ho  0.500  0.500  0.500  0.08
Dy  0.000  0.000  0.000  0.08
Sc  0.250  0.250  0.250  0.20

Results
Symmetry: No. 216
ΔE_f in meV/atom: -273


No. 5
Th4FeSb: relaxed, PBE-GGA.

Cell lengths 6.118, 6.711, 8.779 Å; angles 90.00, 109.48, 90.00 degrees
Positions (direct):
Fe  0.672  0.750  0.928
Th  0.250  0.250  0.366
Th  0.750  0.750  0.634
Th  0.874  0.250  0.938
Th  0.676  0.989  0.217
Sb  0.180  0.750  0.442
Th  0.324  0.011  0.783
Th  0.324  0.489  0.783
Sb  0.820  0.250  0.558
Fe  0.328  0.250  0.072
Th  0.676  0.511  0.217
Th  0.126  0.750  0.062

Results
Symmetry: No. 11
Raw formation energy in meV per atom: -289


No. 6
Cs3NdCl6: relaxed, PBE-GGA.

Cell lengths 8.452, 13.696, 26.901 Å; angles 90.00, 90.00, 90.00 degrees
Positions (direct):
Cl  0.040  0.184  0.060
Cl  0.456  0.131  0.672
Cl  0.960  0.816  0.940
Cl  0.578  0.341  0.560
Cl  0.797  0.416  0.056
Cs  0.182  0.747  0.164
Cl  0.203  0.916  0.056
Cs  0.313  0.092  0.347
Nd  0.796  0.250  0.500
Cs  0.761  0.921  0.053
Cl  0.578  0.159  0.440
Cs  0.818  0.247  0.164
Cl  0.422  0.841  0.560
Cl  0.544  0.869  0.172
Cl  0.045  0.025  0.821
Cl  0.456  0.131  0.828
Cs  0.818  0.253  0.836
Nd  0.263  0.418  0.250
Cs  0.239  0.079  0.947
Nd  0.737  0.918  0.250
Cl  0.544  0.631  0.828
Cl  0.960  0.684  0.060
Cs  0.687  0.908  0.653
Cl  0.955  0.975  0.321
Cl  0.040  0.316  0.560
Cl  0.868  0.767  0.750
Nd  0.263  0.082  0.750
Cs  0.239  0.421  0.053
Nd  0.204  0.750  0.500
Cs  0.818  0.253  0.664
Cl  0.040  0.184  0.440
Cs  0.182  0.747  0.336
Cl  0.132  0.267  0.750
Cl  0.797  0.084  0.944
Cs  0.182  0.753  0.664
Cs  0.239  0.421  0.447
Cl  0.960  0.684  0.440
Cs  0.182  0.753  0.836
Cl  0.045  0.475  0.321
Cl  0.797  0.416  0.444
Cl  0.040  0.316  0.940
Cs  0.313  0.092  0.153
Cs  0.687  0.592  0.347
Cl  0.397  0.898  0.750
Cs  0.313  0.408  0.847
Cl  0.456  0.369  0.328
Cl  0.955  0.525  0.679
Cl  0.960  0.816  0.560
Cl  0.422  0.841  0.940
Cs  0.687  0.592  0.153
Cl  0.578  0.341  0.940
Cl  0.544  0.869  0.328
Cl  0.578  0.159  0.060
Cl  0.422  0.659  0.060
Cl  0.797  0.084  0.556
Cl  0.955  0.525  0.821
Nd  0.737  0.582  0.750
Cl  0.868  0.733  0.250
Cs  0.313  0.408  0.653
Cl  0.132  0.233  0.250
Cl  0.203  0.584  0.556
Cs  0.687  0.908  0.847
Nd  0.204  0.750  0.000
Cl  0.397  0.602  0.250
Cl  0.603  0.398  0.750
Cs  0.761  0.921  0.447
Cl  0.456  0.369  0.172
Cs  0.818  0.247  0.336
Cl  0.045  0.025  0.679
Cs  0.761  0.579  0.553
Cl  0.203  0.584  0.944
Cs  0.239  0.079  0.553
Cl  0.603  0.102  0.250
Cl  0.203  0.916  0.444
Cl  0.955  0.975  0.179
Cs  0.761  0.579  0.947
Cl  0.422  0.659  0.440
Nd  0.796  0.250  0.000
Cl  0.045  0.475  0.179
Cl  0.544  0.631  0.672

Results
Symmetry: No. 57
Raw formation energy in meV per atom: -2161


No. 7
Ti12C3O4: relaxed, PBE-GGA.

Cell lengths 6.821, 6.821, 6.821 Å; angles 109.47, 109.47, 109.47 degrees
Positions (direct):
C  0.500  0.000  0.500
Ti  0.305  0.129  0.825
C  0.500  0.500  0.000
Ti  0.825  0.305  0.129
Ti  0.695  0.520  0.825
Ti  0.871  0.175  0.695
Ti  0.520  0.825  0.695
Ti  0.825  0.695  0.520
Ti  0.129  0.825  0.305
O  0.500  0.500  0.500
O  0.000  0.000  0.500
Ti  0.305  0.480  0.175
O  0.000  0.500  0.000
Ti  0.480  0.175  0.305
Ti  0.695  0.871  0.175
O  0.500  0.000  0.000
Ti  0.175  0.305  0.480
C  0.000  0.500  0.500
Ti  0.175  0.695  0.871

Results
Symmetry: No. 204
Raw formation energy in meV per atom: -981


No. 8
Sn2TeAs: relaxed, PBE-GGA.

Cell lengths 5.261, 5.261, 5.261 Å; angles 60.00, 60.00, 60.00 degrees
Positions (direct):
As  0.000  0.000  0.000
Sn  0.750  0.750  0.750
Te  0.500  0.500  0.500
Sn  0.250  0.250  0.250

Results
Symmetry: No. 225
Raw formation energy in meV per atom: 125